InCo4S8 | PBE-GGA | optimized geometry

Results
- DOS(E_F): 13.5 states/eV/f.u.
- Calculated total energy: -68.96 eV/cell

```
InCo4S8
1.0
0.000 4.893 4.893
4.893 0.000 4.893
4.893 4.893 0.000
In Co S
1 4 8
direct
0.000 0.000 0.000
0.379 0.379 0.379
0.379 0.379 0.862
0.379 0.862 0.379
0.862 0.379 0.379
0.145 0.145 0.145
0.145 0.145 0.566
0.145 0.566 0.145
0.181 0.606 0.606
0.566 0.145 0.145
0.606 0.181 0.606
0.606 0.606 0.181
0.606 0.606 0.606
```